1.
{"formula": "Nd6Co2Br3N", "functional": "PBE", "state": "relaxed", "lattice": [[6.806, -0.001, 0.004], [-3.402, 5.895, 0.004], [-1.131, -1.959, 7.692]], "species": ["Nd", "Nd", "Nd", "Nd", "Nd", "Nd", "Co", "Co", "Br", "Br", "Br", "N"], "frac_coords": [[0.938, 0.620, 0.815], [0.744, 0.744, 0.185], [0.062, 0.380, 0.185], [0.620, 0.938, 0.815], [0.256, 0.256, 0.815], [0.380, 0.062, 0.185], [0.333, 0.667, 0.000], [0.667, 0.333, 0.000], [0.168, 0.832, 0.500], [0.832, 0.168, 0.500], [0.500, 0.500, 0.500], [0.000, 0.000, 0.000]], "sg": "No. 12", "dos_at_fermi_per_ev_cell": 0.3, "magnetic_moment_mub_per_cell": 0.00, "raw_formation_energy_ev_per_atom": -0.93}

=====

2.
{"formula": "Zr8Os", "functional": "PBE", "state": "relaxed", "lattice": [[-4.433, 4.433, 2.519], [4.433, -4.433, 2.519], [4.433, 4.433, -2.519]], "species": ["Zr", "Zr", "Zr", "Zr", "Zr", "Zr", "Zr", "Zr", "Os"], "frac_coords": [[0.663, 0.663, 0.326], [0.337, 0.337, 0.674], [0.000, 0.308, 0.308], [0.337, 0.663, 0.000], [0.692, 0.000, 0.692], [0.663, 0.337, 0.000], [0.000, 0.692, 0.692], [0.308, 0.000, 0.308], [0.000, 0.000, 0.000]], "sg": "No. 139", "dos_at_fermi_per_ev_cell": 11.5, "e_tot_ev_per_cell": -79.3, "magnetic_moment_mub_per_cell": 0.00}

=====

3.
{"formula": "MnTe2W", "functional": "PBE", "state": "relaxed", "lattice": [[-0.206, 0.930, 3.257], [2.197, -2.447, 0.838], [6.044, 5.063, -1.065]], "species": ["Mn", "Te", "Te", "W"], "frac_coords": [[0.500, 0.500, 0.721], [0.000, 0.000, 0.892], [0.500, 0.500, 0.346], [0.000, 0.000, 0.540]], "sg": "No. 99", "dos_at_fermi_per_ev_cell": 2.5, "magnetic_moment_mub_per_cell": 3.22, "raw_formation_energy_ev_per_atom": 0.21}